# 1
Entry from the Alexandria database: a geometry-optimized Tm4SiGeS2 structure (PBE-GGA).

The structure in POSCAR format:
```
Tm4SiGeS2
1.0
-2.987 4.462 -1.659
-3.672 -0.912 4.156
6.366 1.525 2.160
Ge Tm S Si
1 4 2 1
direct
0.750 0.250 0.500
0.250 0.250 0.500
0.750 0.750 0.500
0.498 0.998 0.997
0.002 0.502 0.003
0.250 0.750 0.500
0.000 0.000 0.000
0.500 0.500 0.000
```

Properties
- Space group: I-4m2 (119)
- E_form (uncorrected): -1.418 eV/atom
- Magnetic moment: 0.000 μB per atom

# 2
Entry from the Alexandria database: a geometry-optimized CsPr2MnI8 structure (PBE-GGA).

The structure in POSCAR format:
```
CsPr2MnI8
1.0
7.801 0.240 0.001
0.341 7.428 -0.002
0.016 0.020 9.700
Pr Cs I Mn
2 1 8 1
direct
0.500 0.500 0.226
0.500 0.500 0.774
0.000 0.000 0.500
0.160 0.756 0.199
0.668 0.750 0.000
0.161 0.758 0.801
0.840 0.244 0.801
0.839 0.242 0.199
0.332 0.250 0.000
0.379 0.286 0.501
0.621 0.714 0.499
0.000 0.000 0.000
```

Properties
- Space group: P-1 (2)
- E_form (uncorrected): -1.079 eV/atom
- Magnetic moment: 0.450 μB per atom

# 3
Entry from the Alexandria database: a geometry-optimized Ta5Si structure (PBE-GGA).

The structure in POSCAR format:
```
Ta5Si
1.0
1.398 -8.025 0.000
1.398 8.025 0.000
0.000 0.000 4.736
Ta Si
5 1
direct
0.768 0.232 0.500
0.102 0.898 0.500
0.445 0.555 0.500
0.349 0.651 0.000
0.668 0.332 0.000
0.002 0.998 0.000
```

Properties
- Space group: Amm2 (38)
- Distance to the lowest polymorph of the same formula: 232 meV/atom
- E_form (uncorrected): 0.092 eV/atom
- Magnetic moment: 0.000 μB per atom

# 4
Entry from the Alexandria database: a geometry-optimized BiBCl2 structure (PBE-GGA).

The structure in POSCAR format:
```
BiBCl2
1.0
9.213 1.347 4.740
10.118 2.073 1.573
8.762 4.463 3.530
Cl B Bi
2 1 1
direct
0.054 0.054 0.054
0.946 0.946 0.946
0.000 0.000 0.000
0.500 0.500 0.500
```

Properties
- Space group: R-3m (166)
- Distance to the lowest polymorph of the same formula: 0 meV/atom
- E_form (uncorrected): 0.222 eV/atom
- Magnetic moment: 0.000 μB per atom